No. 1
VASP calculation (GGA-PBE) on a relaxed BaZn2In crystal.

Its space-group type is P4/mmm, No. 123. As for the total energy: -7.5 eV/f.u. The calculation puts the energy of formation from the pure elements at -7 kJ per mole of atoms. The density of states at the Fermi level comes out at 0.67 states/eV/atom.

Cell lengths 3.7535, 3.7535, 7.6057 Å; angles 90.00, 90.00, 90.00 degrees
Last column: nearest neighbours and their distance in Å.
Sites, in units of the cell vectors:
Ba  0.0000  0.0000  0.0000  8 Zn 3.51, 4 Ba 3.75, 2 In 3.80
Zn  0.5000  0.5000  0.3016  1 Zn 3.02, 4 In 3.05
Zn  0.5000  0.5000  0.6984  1 Zn 3.02, 4 In 3.05
In  0.0000  0.0000  0.5000  8 Zn 3.05

***

No. 2
VASP calculation (GGA-PBE) on a relaxed Ba2ZnIn crystal.

Its space-group type is P4mm, No. 99. As for the total energy: -8.3 eV/f.u. The calculation puts the energy of formation from the pure elements at -11 kJ per mole of atoms. The density of states at the Fermi level comes out at 0.86 states/eV/atom.

Cell lengths 4.1061, 4.1061, 9.3784 Å; angles 90.00, 90.00, 90.00 degrees
Last column: nearest neighbours and their distance in Å.
Sites, in units of the cell vectors:
Ba  0.0000  0.0000  0.0000  1 In 3.44, 4 Zn 3.52
Ba  0.5000  0.5000  0.3997  4 In 3.64, 1 Zn 3.64
Zn  0.5000  0.5000  0.7880  4 In 3.25, 4 Ba 3.52
In  0.0000  0.0000  0.6334  4 Zn 3.25, 1 Ba 3.44

***

No. 3
VASP calculation (GGA-PBE) on a relaxed BaZn2In crystal.

Its space-group type is C2/m, No. 12. As for the total energy: -8.0 eV/f.u. The calculation puts the energy of formation from the pure elements at -19 kJ per mole of atoms. The density of states at the Fermi level comes out at 0.89 states/eV/atom.

Cell lengths 8.3075, 4.6523, 6.3758 Å; angles 90.00, 114.33, 90.00 degrees
Last column: nearest neighbours and their distance in Å.
Sites, in units of the cell vectors:
Ba  0.0000  0.0000  0.0000  8 Zn 3.51-3.61
Ba  0.5000  0.5000  0.0000  8 Zn 3.51-3.61
Zn  0.2089  0.0000  0.6204  3 In 2.81-2.82, 2 Zn 3.02
Zn  0.2911  0.5000  0.3796  3 In 2.81-2.82, 2 Zn 3.02
Zn  0.7089  0.5000  0.6204  3 In 2.81-2.82, 2 Zn 3.02
Zn  0.7911  0.0000  0.3796  3 In 2.81-2.82, 2 Zn 3.02
In  0.0000  0.5000  0.5000  6 Zn 2.81-2.82
In  0.5000  0.0000  0.5000  6 Zn 2.81-2.82

***

No. 4
VASP calculation (GGA-PBE) on a relaxed BaZn2In crystal.

Its space-group type is I4_1/amd, No. 141. As for the total energy: -7.6 eV/f.u. The calculation puts the energy of formation from the pure elements at -10 kJ per mole of atoms. The density of states at the Fermi level comes out at 0.71 states/eV/atom.

Cell lengths 5.2338, 5.2338, 18.7007 Å; angles 90.00, 90.00, 90.00 degrees
Last column: nearest neighbours and their distance in Å.
Sites, in units of the cell vectors:
Ba  0.0000  0.2500  0.3750  4 In 3.70, 8 Zn 3.74
Ba  0.0000  0.7500  0.6250  4 In 3.70, 8 Zn 3.74
Ba  0.5000  0.2500  0.1250  4 In 3.70, 8 Zn 3.74
Ba  0.5000  0.7500  0.8750  4 In 3.70, 8 Zn 3.74
Zn  0.0000  0.0000  0.0000  2 Zn 2.62, 2 In 2.68
Zn  0.0000  0.5000  0.0000  2 Zn 2.62, 2 In 2.68
Zn  0.2500  0.2500  0.7500  2 Zn 2.62, 2 In 2.68
Zn  0.2500  0.7500  0.2500  2 Zn 2.62, 2 In 2.68
Zn  0.5000  0.0000  0.5000  2 Zn 2.62, 2 In 2.68
Zn  0.5000  0.5000  0.5000  2 Zn 2.62, 2 In 2.68
Zn  0.7500  0.2500  0.7500  2 Zn 2.62, 2 In 2.68
Zn  0.7500  0.7500  0.2500  2 Zn 2.62, 2 In 2.68
In  0.0000  0.2500  0.8750  4 Zn 2.68
In  0.0000  0.7500  0.1250  4 Zn 2.68
In  0.5000  0.2500  0.6250  4 Zn 2.68
In  0.5000  0.7500  0.3750  4 Zn 2.68

***

Question: Which value of energy of formation from the pure elements does entry 1 give?
Answer: -7 kJ per mole of atoms